(1)
A plane-wave DFT calculation with PBE was carried out for a relaxed structure of NaPm5Te8.

The structure in CIF format:
```
data_NaPm5Te8
_space_group_name_H-M_alt 'I -4'
_space_group_IT_number 82
_cell_length_a 9.506
_cell_length_b 9.506
_cell_length_c 9.564
_cell_angle_alpha 90.00
_cell_angle_beta 90.00
_cell_angle_gamma 90.00
loop_
_space_group_symop_operation_xyz
'x,y,z'
'y,-x,-z'
'-x,-y,z'
'-y,x,-z'
'x+1/2,y+1/2,z+1/2'
'y+1/2,-x+1/2,-z+1/2'
'-x+1/2,-y+1/2,z+1/2'
'-y+1/2,x+1/2,-z+1/2'
loop_
_atom_site_label
_atom_site_fract_x
_atom_site_fract_y
_atom_site_fract_z
_atom_site_occupancy
Na1 0.000 0.000 0.000 1
Pm1 0.000 0.500 0.750 1
Pm2 0.127 0.745 0.372 1
Te1 0.074 0.821 0.690 1
Te2 0.077 0.675 0.047 1
```

Computed properties:
- Energy: -139.60 eV for the cell shown
- Formation energy (no corrections): -1.40 eV per atom

---

(2)
A plane-wave DFT calculation with PBE was carried out for a relaxed structure of BaYCdHg.

The structure in CIF format:
```
data_BaYCdHg
_space_group_name_H-M_alt 'F -4 3 m'
_space_group_IT_number 216
_space_group_name_Hall 'F -4 2 3'
_cell_length_a 7.955
_cell_length_b 7.955
_cell_length_c 7.955
_cell_angle_alpha 90.00
_cell_angle_beta 90.00
_cell_angle_gamma 90.00
loop_
_atom_site_label
_atom_site_fract_x
_atom_site_fract_y
_atom_site_fract_z
_atom_site_occupancy
Ba1 0.000 0.000 0.000 1
Y1 0.000 0.000 0.500 1
Cd1 0.250 0.250 0.250 1
Hg1 0.250 0.250 0.750 1
```

Computed properties:
- DOS at the Fermi energy: 0.60 states/eV per atom
- Energy: -42.90 eV for the cell shown